1.
Density functional theory data (GGA-PBE) for crystalline CsPuZn2Br8 at its relaxed geometry.

The structure in POSCAR format:
```
CsPuZn2Br8
1.0
3.458 1.996 10.814
-3.458 1.996 10.814
0.000 -3.993 10.814
Cs Pu Zn Br
1 1 2 8
Direct
0.000 0.000 0.000
0.500 0.500 0.500
0.247 0.247 0.247
0.753 0.753 0.753
0.114 0.784 0.441
0.216 0.559 0.886
0.319 0.319 0.319
0.441 0.114 0.784
0.559 0.886 0.216
0.681 0.681 0.681
0.784 0.441 0.114
0.886 0.216 0.559
```

Values from the calculation:
As for the crystal system: trigonal. For the total energy, the calculation gives -3.8264 eV/atom. The calculation puts the spin magnetization at 0.42 μB/atom. The uncorrected formation energy is -1.2333 eV per atom.

2.
Density functional theory data (GGA-PBE) for crystalline CsRb3Br3 at its relaxed geometry.

The structure in POSCAR format:
```
CsRb3Br3
1.0
9.577 0.000 0.000
0.000 9.577 0.000
0.000 0.000 9.577
Cs Rb Br
2 6 6
Direct
0.000 0.000 0.000
0.500 0.500 0.500
0.000 0.250 0.500
0.000 0.750 0.500
0.250 0.500 0.000
0.500 0.000 0.250
0.500 0.000 0.750
0.750 0.500 0.000
0.000 0.500 0.250
0.000 0.500 0.750
0.250 0.000 0.500
0.500 0.250 0.000
0.500 0.750 0.000
0.750 0.000 0.500
```

Values from the calculation:
As for the crystal system: cubic. For the total energy, the calculation gives -2.6089 eV/atom. The calculation puts the spin magnetization at 0.00 μB/atom. The uncorrected formation energy is -1.3554 eV per atom.

3.
Density functional theory data (GGA-PBE) for crystalline Cs2Rb3Br4 at its relaxed geometry.

The structure in POSCAR format:
```
Cs2Rb3Br4
1.0
8.509 -2.499 0.000
8.509 2.499 0.000
-6.177 0.000 10.945
Cs Rb Br
2 3 4
Direct
0.103 0.103 0.397
0.897 0.897 0.603
0.297 0.297 0.188
0.500 0.500 0.000
0.703 0.703 0.812
0.101 0.101 0.904
0.297 0.297 0.712
0.703 0.703 0.288
0.899 0.899 0.096
```

Values from the calculation:
As for the crystal system: monoclinic. For the total energy, the calculation gives -2.7883 eV/atom. The calculation puts the spin magnetization at 0.02 μB/atom. The uncorrected formation energy is -1.5326 eV per atom.

4.
Density functional theory data (GGA-PBE) for crystalline Cs4RbBr4 at its relaxed geometry.

The structure in POSCAR format:
```
Cs4RbBr4
1.0
8.168 -3.689 0.000
8.168 3.689 0.000
-8.147 0.000 8.195
Cs Rb Br
4 1 4
Direct
0.099 0.099 0.401
0.301 0.301 0.202
0.699 0.699 0.798
0.901 0.901 0.599
0.500 0.500 0.000
0.208 0.208 0.805
0.402 0.402 0.610
0.598 0.598 0.390
0.792 0.792 0.195
```

Values from the calculation:
As for the crystal system: monoclinic. For the total energy, the calculation gives -2.7769 eV/atom. The calculation puts the spin magnetization at 0.08 μB/atom. The uncorrected formation energy is -1.5465 eV per atom.

5.
Density functional theory data (GGA-PBE) for crystalline Cs3RbBr4 at its relaxed geometry.

The structure in POSCAR format:
```
Cs3RbBr4
1.0
0.000 5.152 7.282
5.148 0.000 7.282
5.148 5.152 0.000
Cs Rb Br
3 1 4
Direct
0.000 0.000 0.000
0.250 0.250 0.250
0.750 0.750 0.750
0.500 0.500 0.500
0.000 0.000 0.500
0.258 0.258 0.742
0.500 0.500 0.000
0.742 0.742 0.258
```

Values from the calculation:
As for the crystal system: orthorhombic. For the total energy, the calculation gives -3.0499 eV/atom. The calculation puts the spin magnetization at 0.00 μB/atom. The uncorrected formation energy is -1.7724 eV per atom.

6.
Density functional theory data (GGA-PBE) for crystalline Cs2Rb2Br at its relaxed geometry.

The structure in POSCAR format:
```
Cs2Rb2Br
1.0
9.734 0.000 0.000
0.000 9.734 0.000
0.000 0.000 9.172
Cs Rb Br
4 4 2
Direct
0.190 0.310 0.000
0.310 0.810 0.000
0.690 0.190 0.000
0.810 0.690 0.000
0.169 0.669 0.500
0.331 0.169 0.500
0.669 0.831 0.500
0.831 0.331 0.500
0.000 0.000 0.000
0.500 0.500 0.000
```

Values from the calculation:
As for the crystal system: tetragonal. For the total energy, the calculation gives -1.6497 eV/atom. The calculation puts the spin magnetization at 0.00 μB/atom. As for the energy above the lowest structure with this stoichiometry: 0.16 eV/f.u. The uncorrected formation energy is -0.5866 eV per atom.

Copy entry 4 word for word.
Density functional theory data (GGA-PBE) for crystalline Cs4RbBr4 at its relaxed geometry.

The structure in POSCAR format:
```
Cs4RbBr4
1.0
8.168 -3.689 0.000
8.168 3.689 0.000
-8.147 0.000 8.195
Cs Rb Br
4 1 4
Direct
0.099 0.099 0.401
0.301 0.301 0.202
0.699 0.699 0.798
0.901 0.901 0.599
0.500 0.500 0.000
0.208 0.208 0.805
0.402 0.402 0.610
0.598 0.598 0.390
0.792 0.792 0.195
```

Values from the calculation:
As for the crystal system: monoclinic. For the total energy, the calculation gives -2.7769 eV/atom. The calculation puts the spin magnetization at 0.08 μB/atom. The uncorrected formation energy is -1.5465 eV per atom.

- The highest spin magnetization belongs to which entry?
  CsPuZn2Br8

- spin magnetization of number 4 (Cs4RbBr4)?
  0.08 μB/atom

Please write out number 3 again, unchanged.
Density functional theory data (GGA-PBE) for crystalline Cs2Rb3Br4 at its relaxed geometry.

The structure in POSCAR format:
```
Cs2Rb3Br4
1.0
8.509 -2.499 0.000
8.509 2.499 0.000
-6.177 0.000 10.945
Cs Rb Br
2 3 4
Direct
0.103 0.103 0.397
0.897 0.897 0.603
0.297 0.297 0.188
0.500 0.500 0.000
0.703 0.703 0.812
0.101 0.101 0.904
0.297 0.297 0.712
0.703 0.703 0.288
0.899 0.899 0.096
```

Values from the calculation:
As for the crystal system: monoclinic. For the total energy, the calculation gives -2.7883 eV/atom. The calculation puts the spin magnetization at 0.02 μB/atom. The uncorrected formation energy is -1.5326 eV per atom.